Record 1
Entry from the Alexandria database: a relaxed Pa4P5Rh crystal (PBE).

a = 3.8872 Å, b = 3.8872 Å, c = 46.3630 Å
α = 90.00°, β = 90.00°, γ = 120.00°
Space group R-3m (No. 166, hexagonal axes)
Inequivalent atoms, fractional coordinates:
Pa (0.0000, 0.0000, 0.1080) [6 per cell]
Pa (0.0000, 0.0000, 0.2969) [6 per cell]
P (0.0000, 0.0000, 0.0000) [3 per cell]
P (0.0000, 0.0000, 0.1902) [6 per cell]
P (0.0000, 0.0000, 0.4057) [6 per cell]
Rh (0.0000, 0.0000, 0.5000) [3 per cell]

Properties
DFT formation energy in meV per atom: -1146
VASP energy in eV per atom: -8.38



Record 2
Entry from the Alexandria database: a relaxed LaErPd2 crystal (PBE).

a = 4.626 Å, b = 3.833 Å, c = 10.752 Å
α = 90.00°, β = 90.00°, γ = 90.00°
Space group Amm2 (No. 38)
Inequivalent atoms, fractional coordinates:
La (0.000, 0.000, 0.000) [2 per cell]
Er (0.500, 0.000, 0.727) [2 per cell]
Pd (0.000, 0.000, 0.272) [2 per cell]
Pd (0.500, 0.000, 0.446) [2 per cell]

Properties
DFT formation energy in meV per atom: -872
ΔE to the lowest computed polymorph in meV/atom: 0
VASP energy in eV per atom: -5.84



Record 3
Entry from the Alexandria database: a relaxed TbZrSc6 crystal (PBE).

a = 4.628 Å, b = 4.628 Å, c = 9.322 Å
α = 90.00°, β = 90.00°, γ = 90.00°
Space group P4/mmm (No. 123)
Inequivalent atoms, fractional coordinates:
Tb (0.000, 0.000, 0.000) [1 per cell]
Zr (0.000, 0.000, 0.500) [1 per cell]
Sc (0.000, 0.500, 0.262) [4 per cell]
Sc (0.500, 0.500, 0.000) [1 per cell]
Sc (0.500, 0.500, 0.500) [1 per cell]

Properties
DFT formation energy in meV per atom: 39
ΔE to the lowest computed polymorph in meV/atom: 0
VASP energy in eV per atom: -6.36



Record 4
Entry from the Alexandria database: a relaxed RbNb3Cr crystal (PBE).

a = 4.858 Å, b = 4.858 Å, c = 4.858 Å
α = 90.00°, β = 90.00°, γ = 90.00°
Space group Pm-3m (No. 221)
Inequivalent atoms, fractional coordinates:
Rb (0.000, 0.000, 0.000) [1 per cell]
Nb (0.000, 0.500, 0.500) [3 per cell]
Cr (0.500, 0.500, 0.500) [1 per cell]

Properties
DFT formation energy in meV per atom: 1378
ΔE to the lowest computed polymorph in meV/atom: 0
VASP energy in eV per atom: -6.78



Record 5
Entry from the Alexandria database: a relaxed GaSeNO2 crystal (PBE).

a = 3.766 Å, b = 3.766 Å, c = 4.152 Å
α = 90.00°, β = 90.00°, γ = 90.00°
Space group P4/mmm (No. 123)
Inequivalent atoms, fractional coordinates:
Ga (0.000, 0.000, 0.000) [1 per cell]
Se (0.500, 0.500, 0.500) [1 per cell]
N (0.500, 0.500, 0.000) [1 per cell]
O (0.000, 0.500, 0.500) [2 per cell]

Properties
Formation energy without anion corrections in eV/atom: 0.392
VASP energy in eV per atom: -4.56



Record 6
Entry from the Alexandria database: a relaxed CsZnF3 crystal (PBE).

a = 3.763 Å, b = 3.763 Å, c = 7.140 Å
α = 90.00°, β = 90.00°, γ = 90.00°
Space group P4mm (No. 99)
Inequivalent atoms, fractional coordinates:
Cs (0.000, 0.000, 0.000) [1 per cell]
Zn (0.500, 0.500, 0.419) [1 per cell]
F (0.000, 0.000, 0.633) [1 per cell]
F (0.000, 0.500, 0.311) [2 per cell]

Properties
Formation energy without anion corrections in eV/atom: -2.037
VASP energy in eV per atom: -3.59